NaRh2AuCl | PBE | relaxed

Lattice parameters (Å, degrees): 4.9834 4.9834 5.5456 90.00 90.00 90.00
Space group P4/mmm (No. 123)
One atom of each set of equivalent atoms:
Na (0.0000, 0.0000, 0.0000) x1
Rh (0.0000, 0.5000, 0.5000) x2
Au (0.0000, 0.0000, 0.5000) x1
Cl (0.5000, 0.5000, 0.0000) x1

Results
Energy relative to the lowest polymorph listed for this composition ... 0.000 eV/atom
Energy relative to the elements, uncorrected ... 856 meV/atom
Density of states at the Fermi level ... 1.5694 states/eV/atom

---

NaRh2AuCl | PBE | relaxed

Lattice parameters (Å, degrees): 4.8768 4.8768 4.5360 90.00 90.00 90.00
Space group P4/mmm (No. 123)
One atom of each set of equivalent atoms:
Na (0.0000, 0.0000, 0.0000) x1
Rh (0.0000, 0.5000, 0.0000) x2
Au (0.5000, 0.5000, 0.5000) x1
Cl (0.0000, 0.0000, 0.5000) x1

Results
Energy relative to the lowest polymorph listed for this composition ... 0.445 eV/atom
Energy relative to the elements, uncorrected ... 1301 meV/atom
Density of states at the Fermi level ... 1.9960 states/eV/atom

---

NaAuS2Cl | PBE | relaxed

Lattice parameters (Å, degrees): 5.1477 5.1477 4.9126 90.00 90.00 90.00
Space group P4/mmm (No. 123)
One atom of each set of equivalent atoms:
Na (0.0000, 0.0000, 0.0000) x1
Au (0.5000, 0.5000, 0.5000) x1
S (0.0000, 0.5000, 0.0000) x2
Cl (0.0000, 0.0000, 0.5000) x1

Results
Energy relative to the lowest polymorph listed for this composition ... 0.788 eV/atom
Energy relative to the elements, uncorrected ... 738 meV/atom
Density of states at the Fermi level ... 0.5179 states/eV/atom

---

NaAuS2Cl | PBE | relaxed

Lattice parameters (Å, degrees): 4.8559 4.8559 5.2594 90.00 90.00 90.00
Space group P4/mmm (No. 123)
One atom of each set of equivalent atoms:
Na (0.0000, 0.0000, 0.0000) x1
Au (0.5000, 0.5000, 0.5000) x1
S (0.0000, 0.5000, 0.5000) x2
Cl (0.5000, 0.5000, 0.0000) x1

Results
Energy relative to the lowest polymorph listed for this composition ... 0.000 eV/atom
Energy relative to the elements, uncorrected ... -50 meV/atom
Density of states at the Fermi level ... 1.2755 states/eV/atom

---

NaTl2AuCl6 | PBE | relaxed

Lattice parameters (Å, degrees): 7.1607 7.1607 11.6245 90.00 90.00 90.00
Space group I4/mmm (No. 139)
One atom of each set of equivalent atoms:
Na (0.0000, 0.0000, 0.0000) x2
Tl (0.0000, 0.5000, 0.2500) x4
Au (0.0000, 0.0000, 0.5000) x2
Cl (0.0000, 0.0000, 0.2271) x4
Cl (0.2288, 0.2288, 0.5000) x8

Results
Energy relative to the elements, uncorrected ... -820 meV/atom

---

NbAu3Cl | PBE | relaxed

Lattice parameters (Å, degrees): 5.1805 5.1805 5.1805 90.00 90.00 90.00
Space group Pm-3m (No. 221)
One atom of each set of equivalent atoms:
Nb (0.0000, 0.0000, 0.0000) x1
Au (0.0000, 0.0000, 0.5000) x3
Cl (0.5000, 0.5000, 0.5000) x1

Results
Energy relative to the lowest polymorph listed for this composition ... 0.000 eV/atom
Energy relative to the elements, uncorrected ... 976 meV/atom
Density of states at the Fermi level ... 0.7303 states/eV/atom

---

NbAuCl3 | PBE | relaxed

Lattice parameters (Å, degrees): 4.9093 4.9093 4.9093 90.00 90.00 90.00
Space group Pm-3m (No. 221)
One atom of each set of equivalent atoms:
Nb (0.0000, 0.0000, 0.0000) x1
Au (0.5000, 0.5000, 0.5000) x1
Cl (0.0000, 0.0000, 0.5000) x3

Results
Energy relative to the lowest polymorph listed for this composition ... 0.000 eV/atom
Energy relative to the elements, uncorrected ... -224 meV/atom
Density of states at the Fermi level ... 1.1311 states/eV/atom

---

NbAu3Cl | PBE | relaxed

Lattice parameters (Å, degrees): 4.8612 4.8612 4.8612 90.00 90.00 90.00
Space group Pm-3m (No. 221)
One atom of each set of equivalent atoms:
Nb (0.0000, 0.0000, 0.0000) x1
Au (0.0000, 0.5000, 0.5000) x3
Cl (0.5000, 0.5000, 0.5000) x1

Results
Energy relative to the lowest polymorph listed for this composition ... 0.338 eV/atom
Energy relative to the elements, uncorrected ... 1313 meV/atom
Density of states at the Fermi level ... 1.2354 states/eV/atom